Entry from Alexandria: a geometry-optimized KHg2P structure (GGA-PBE).

The space group is Immm (No. 71) and the conventional cell measures 4.220, 5.750 and 9.445 Å, with angles of 90.00, 90.00 and 90.00 degrees. The inequivalent atoms are K at (0.000, 0.000, 0.000), Hg at (0.000, 0.500, 0.186) and P at (0.000, 0.000, 0.500).

As for the spin magnetization: 0.00 μB/cell. The calculation puts the volume at 28.64 Å³ per atom. As for the formation energy: 43 meV per atom. The total energy comes out at -13.879 eV for the cell shown.

Entry from Alexandria: a geometry-optimized YNiW structure (GGA-PBE).

The space group is P3m1 (No. 156) and the conventional cell measures 3.1267, 3.1267 and 6.5682 Å, with angles of 90.00, 90.00 and 120.00 degrees. The inequivalent atoms are Y at (0.0000, 0.0000, 0.0000), Ni at (0.3333, 0.6667, 0.3594) and W at (0.6667, 0.3333, 0.6241).

As for the spin magnetization: 0.00 μB/cell. The calculation puts the volume at 18.54 Å³ per atom. As for the formation energy: 542 meV per atom. The calculation puts the polymorph energy (0 for the lowest one) at 1.06 eV/f.u. The total energy comes out at -23.572 eV for the cell shown.

Entry from Alexandria: a geometry-optimized Li2TcO3 structure (GGA-PBE).

The space group is C2/c (No. 15) and the conventional cell measures 5.294, 8.704 and 4.762 Å, with angles of 90.00, 109.56 and 90.00 degrees. The inequivalent atoms are Li at (0.000, 0.089, 0.250), Li at (0.000, 0.239, 0.750), Tc at (0.000, 0.425, 0.250), O at (0.246, 0.414, 0.998) and O at (0.250, 0.250, 0.500).

As for the spin magnetization: 0.00 μB/cell. The calculation puts the volume at 8.61 Å³ per atom. The calculation puts the polymorph energy (0 for the lowest one) at 0.29 eV/f.u. The total energy comes out at -157.455 eV for the cell shown.

Entry from Alexandria: a geometry-optimized Zn3GaNi structure (GGA-PBE).

The space group is C2/m (No. 12) and the conventional cell measures 8.704, 5.025 and 4.537 Å, with angles of 90.00, 90.28 and 90.00 degrees. The inequivalent atoms are Zn at (0.000, 0.000, 0.000), Zn at (0.250, 0.250, 0.000), Ga at (0.000, 0.500, 0.500) and Ni at (0.000, 0.500, 0.000).

As for the spin magnetization: 0.00 μB/cell. The calculation puts the volume at 19.84 Å³ per atom. As for the formation energy: -13 meV per atom. The calculation puts the polymorph energy (0 for the lowest one) at 0.00 eV/f.u. The total energy comes out at -25.392 eV for the cell shown.